First-principles (PBE) data for crystalline CdInOs2Au at its relaxed geometry, as listed in Alexandria. Values from VASP.

Quantum ESPRESSO input file:
```
&SYSTEM
  ibrav = 0, nat = 5, ntyp = 4
/
ATOMIC_SPECIES
Au 196.97 Au.upf
In 114.82 In.upf
Cd 112.41 Cd.upf
Os 190.23 Os.upf
CELL_PARAMETERS angstrom
4.914 0.000 0.000
0.000 5.055 0.000
0.000 0.000 4.914
ATOMIC_POSITIONS crystal
Au 0.500 0.500 0.500
In 0.000 0.000 0.000
Cd 0.000 0.500 0.000
Os 0.500 0.000 0.000
Os 0.000 0.000 0.500
```

Calculated values
formation energy from the elements: 2.228 eV per atom
calculated volume: 24.41 Å³/atom